DFT (PBE-GGA) results for crystalline SrWBr2 at its relaxed geometry.

Values from the calculation:
Its relative energy among the computed polymorphs is 83 meV/atom. As for the energy relative to the elements, uncorrected: 0.10 eV per atom. The total moment comes out at 4.0 μB per formula unit.

a = 12.401 Å, b = 4.174 Å, c = 5.558 Å
α = 90.00°, β = 92.44°, γ = 90.00°
Space group C2/m (No. 12)
Inequivalent atoms, fractional coordinates:
Sr 0.000 0.000 0.000 x2
W 0.000 0.500 0.500 x2
Br 0.162 0.500 0.228 x4